Entry from the Alexandria database: TbMg4Cd2 after structural relaxation (PBE-GGA).

Properties
Relative energy among the computed polymorphs: 22.9 kJ/mol of atoms
Formation energy from the elements: 125.1 meV/atom
V: 175.1 Å³/cell

Cell lengths 6.1023, 6.1023, 7.6714 Å; angles 127.34, 127.36, 58.50 degrees
Closest atoms and distances in Å follow each position.
Fractional coordinates of all 7 atoms:
Mg 0.7499 0.2500 0.5000  4 Mg 2.76-2.98
Mg 0.2501 0.7500 0.5000  4 Mg 2.76-2.98
Mg 0.5000 0.0000 0.0000  4 Mg 2.76-2.98, 2 Tb 3.05
Mg 0.0000 0.5000 0.0000  4 Mg 2.76-2.98, 2 Tb 3.05
Cd 0.6543 0.6543 0.3102  8 Mg 3.22-3.51, 1 Cd 3.42, 2 Tb 3.44
Cd 0.3457 0.3457 0.6898  8 Mg 3.22-3.51, 1 Cd 3.42, 2 Tb 3.44
Tb 0.0000 0.0000 0.0000  4 Mg 3.05